[1]
A relaxed structure of MoC3, computed with PBE.

Results
Calculated density (g/cm3): 5.801
Final energy (eV/atom): -8.105
Space-group type: P6_3/mmc, No. 194
Volume (Å³/atom): 9.44

Lattice parameters (Å, degrees): 4.4659 4.4659 4.3742 90.00 90.00 120.00
Closest atoms and distances in Å follow each position.
Element x y z (fractional)
Mo 0.3333 0.6667 0.2500  12 C 2.27-2.36
Mo 0.6667 0.3333 0.7500  12 C 2.27-2.36
C 0.2203 0.4406 0.7500  2 C 1.51
C 0.2203 0.7797 0.7500  2 C 1.51
C 0.4406 0.2203 0.2500  2 C 1.51
C 0.5594 0.7797 0.7500  2 C 1.51
C 0.7797 0.2203 0.2500  2 C 1.51
C 0.7797 0.5594 0.2500  2 C 1.51

***

[2]
A relaxed structure of Mo3C, computed with PBE.

Results
Calculated density (g/cm3): 9.286
Final energy (eV/atom): -10.148
Space-group type: Cmcm, No. 63
Volume (Å³/atom): 13.40

Lattice parameters (Å, degrees): 6.1412 6.1412 2.9461 90.00 90.00 105.17
Closest atoms and distances in Å follow each position.
Element x y z (fractional)
Mo 0.1159 0.8841 0.7500  2 C 2.19
Mo 0.1895 0.4372 0.7500  2 C 2.23
Mo 0.4372 0.1895 0.2500  2 C 2.23
Mo 0.5628 0.8105 0.7500  2 C 2.23
Mo 0.8105 0.5628 0.2500  2 C 2.23
Mo 0.8841 0.1159 0.2500  2 C 2.19
C 0.2820 0.7180 0.2500  6 Mo 2.19-2.23
C 0.7180 0.2820 0.7500  6 Mo 2.19-2.23

***

[3]
A relaxed structure of Mo3C, computed with PBE.

Results
Calculated density (g/cm3): 9.133
Final energy (eV/atom): -9.273
Space-group type: Fm-3m, No. 225
Volume (Å³/atom): 13.63

Lattice parameters (Å, degrees): 4.2561 4.2561 4.2561 60.00 60.00 60.00
Closest atoms and distances in Å follow each position.
Element x y z (fractional)
Mo 0.0000 0.0000 0.0000  8 Mo 2.61
Mo 0.2500 0.2500 0.2500  4 C 2.61, 4 Mo 2.61
Mo 0.7500 0.7500 0.7500  4 C 2.61, 4 Mo 2.61
C 0.5000 0.5000 0.5000  8 Mo 2.61

***

[4]
A relaxed structure of MoC3, computed with PBE.

Results
Calculated density (g/cm3): 6.379
Final energy (eV/atom): -7.111
Space-group type: Pm-3m, No. 221
Volume (Å³/atom): 8.59

Lattice parameters (Å, degrees): 3.2508 3.2508 3.2508 90.00 90.00 90.00
Closest atoms and distances in Å follow each position.
Element x y z (fractional)
Mo 0.0000 0.0000 0.0000  12 C 2.30
C 0.0000 0.5000 0.5000  4 Mo 2.30, 8 C 2.30
C 0.5000 0.0000 0.5000  4 Mo 2.30, 8 C 2.30
C 0.5000 0.5000 0.0000  4 Mo 2.30, 8 C 2.30

***

[5]
A relaxed structure of MoC3, computed with PBE.

Results
Calculated density (g/cm3): 5.065
Final energy (eV/atom): -8.481
Space-group type: Pmmm, No. 47
Volume (Å³/atom): 10.82

Lattice parameters (Å, degrees): 2.6781 3.1881 5.0670 90.00 90.00 90.00
Closest atoms and distances in Å follow each position.
Element x y z (fractional)
Mo 0.0000 0.0000 0.0000  4 C 2.08
C 0.0000 0.0000 0.5000  2 C 1.34
C 0.5000 0.0000 0.5000  2 C 1.34
C 0.5000 0.5000 0.0000  4 Mo 2.08

***

[6]
A relaxed structure of Mo3C, computed with PBE.

Results
Calculated density (g/cm3): 7.197
Final energy (eV/atom): -9.466
Space-group type: Pm-3m, No. 221
Volume (Å³/atom): 17.30

Lattice parameters (Å, degrees): 4.1051 4.1051 4.1051 90.00 90.00 90.00
Closest atoms and distances in Å follow each position.
Element x y z (fractional)
Mo 0.0000 0.0000 0.5000  2 C 2.05
Mo 0.0000 0.5000 0.0000  2 C 2.05
Mo 0.5000 0.0000 0.0000  2 C 2.05
C 0.0000 0.0000 0.0000  6 Mo 2.05

***

[7]
A relaxed structure of MoC3, computed with PBE.

Results
Calculated density (g/cm3): 6.715
Final energy (eV/atom): -7.755
Space-group type: R-3m, No. 166
Volume (Å³/atom): 8.16

Lattice parameters (Å, degrees): 5.4766 5.4766 5.4766 28.31 28.31 28.31
Closest atoms and distances in Å follow each position.
Element x y z (fractional)
Mo 0.0000 0.0000 0.0000  6 C 2.24
C 0.2302 0.2302 0.2302  3 C 1.84
C 0.5000 0.5000 0.5000  6 C 1.84
C 0.7698 0.7698 0.7698  3 C 1.84

***

[8]
A relaxed structure of MoC4, computed with PBE.

Results
Calculated density (g/cm3): 3.515
Final energy (eV/atom): -6.213
Space-group type: Pm-3m, No. 221
Volume (Å³/atom): 13.61

Lattice parameters (Å, degrees): 4.0822 4.0822 4.0822 90.00 90.00 90.00
Closest atoms and distances in Å follow each position.
Element x y z (fractional)
Mo 0.0000 0.0000 0.0000  6 C 2.04
C 0.0000 0.0000 0.5000  2 Mo 2.04
C 0.0000 0.5000 0.0000  2 Mo 2.04
C 0.5000 0.0000 0.0000  2 Mo 2.04
C 0.5000 0.5000 0.5000  12 C 2.89